Record 1
YNiHg2 | PBE-GGA | optimized geometry

## Properties
As for the density: 9523 kg/m3. The calculation puts the total magnetic moment at 0.00 μB per formula unit. The energy of formation from the pure elements is -12.21 kJ per mole of atoms. Its final energy is -3.3388 eV/atom.

a = 4.0148 Å, b = 4.0148 Å, c = 20.5655 Å
α = 90.00°, β = 90.00°, γ = 120.00°
Space group R3m (No. 160, hexagonal axes)
Inequivalent atoms, fractional coordinates:
Y 0.0000 0.0000 0.0000 [3 per cell]
Ni 0.0000 0.0000 0.7375 [3 per cell]
Hg 0.0000 0.0000 0.2267 [3 per cell]
Hg 0.0000 0.0000 0.4630 [3 per cell]


Record 2
RbHfP3 | PBE-GGA | optimized geometry

## Properties
As for the density: 4519 kg/m3. The value obtained for the relative energy among the computed polymorphs is 0 meV per atom. The calculation puts the total magnetic moment at 0.00 μB per formula unit. The energy of formation from the pure elements is -13.39 kJ per mole of atoms. Its final energy is -5.5689 eV/atom.

a = 5.081 Å, b = 5.081 Å, c = 5.081 Å
α = 90.00°, β = 90.00°, γ = 90.00°
Space group Pm-3m (No. 221)
Inequivalent atoms, fractional coordinates:
Rb 0.000 0.000 0.000 [1 per cell]
Hf 0.500 0.500 0.500 [1 per cell]
P 0.000 0.500 0.500 [3 per cell]


Record 3
CsLiOsO2 | PBE-GGA | optimized geometry

## Properties
As for the density: 5452 kg/m3. The calculation puts the total magnetic moment at 3.93 μB per formula unit. As for the uncorrected formation energy: 1.544 eV/atom. Its final energy is -3.2386 eV/atom.

a = 4.536 Å, b = 4.536 Å, c = 5.360 Å
α = 90.00°, β = 90.00°, γ = 90.00°
Space group P4/mmm (No. 123)
Inequivalent atoms, fractional coordinates:
Cs 0.000 0.000 0.000 [1 per cell]
Li 0.000 0.000 0.500 [1 per cell]
Os 0.500 0.500 0.500 [1 per cell]
O 0.000 0.500 0.000 [2 per cell]